This record from Alexandria describes OsRu at its PBEsol-relaxed geometry. The functional is meta-GGA SCAN.

Cell lengths 4.230, 4.230, 11.590 Å; angles 90.00, 90.00, 120.00 degrees
Atoms (fractional coordinates):
Os1 0.000 0.000 0.167
Os2 0.000 0.000 0.833
Os3 0.333 0.667 0.499
Os4 0.333 0.667 0.834
Os5 0.667 0.333 0.166
Os6 0.667 0.333 0.501
Ru1 0.000 0.000 0.390
Ru2 0.000 0.000 0.610
Ru3 0.333 0.667 0.057
Ru4 0.333 0.667 0.276
Ru5 0.667 0.333 0.724
Ru6 0.667 0.333 0.943

## Properties
Uncorrected energy in hartree per atom: -1.940
Space group: R-3m (166)
Mass density in kg/m3: 16156
Energy of formation in eV/atom: 0.555
Total magnetization in μB/f.u.: 0.00

---

This record from Alexandria describes Sm3Si2ClO8 at its PBEsol-relaxed geometry. The functional is meta-GGA SCAN.

Cell lengths 7.005, 17.926, 6.234 Å; angles 90.00, 90.00, 90.00 degrees
Atoms (fractional coordinates):
Sm1 0.016 0.092 0.126
Sm2 0.016 0.408 0.126
Sm3 0.202 0.750 0.385
Sm4 0.298 0.250 0.885
Sm5 0.484 0.592 0.626
Sm6 0.484 0.908 0.626
Sm7 0.516 0.092 0.374
Sm8 0.516 0.408 0.374
Sm9 0.702 0.750 0.115
Sm10 0.798 0.250 0.615
Sm11 0.984 0.592 0.874
Sm12 0.984 0.908 0.874
Si1 0.025 0.100 0.622
Si2 0.025 0.400 0.622
Si3 0.475 0.600 0.122
Si4 0.475 0.900 0.122
Si5 0.525 0.100 0.878
Si6 0.525 0.400 0.878
Si7 0.975 0.600 0.378
Si8 0.975 0.900 0.378
Cl1 0.053 0.250 0.245
Cl2 0.447 0.750 0.745
Cl3 0.553 0.250 0.255
Cl4 0.947 0.750 0.755
O1 0.012 0.030 0.788
O2 0.012 0.470 0.788
O3 0.036 0.175 0.780
O4 0.036 0.325 0.780
O5 0.162 0.619 0.530
O6 0.162 0.881 0.530
O7 0.198 0.096 0.449
O8 0.198 0.404 0.449
O9 0.302 0.596 0.949
O10 0.302 0.904 0.949
O11 0.338 0.119 0.030
O12 0.338 0.381 0.030
O13 0.464 0.675 0.280
O14 0.464 0.825 0.280
O15 0.488 0.530 0.288
O16 0.488 0.970 0.288
O17 0.512 0.030 0.712
O18 0.512 0.470 0.712
O19 0.536 0.175 0.720
O20 0.536 0.325 0.720
O21 0.662 0.619 0.970
O22 0.662 0.881 0.970
O23 0.698 0.096 0.051
O24 0.698 0.404 0.051
O25 0.802 0.596 0.551
O26 0.802 0.904 0.551
O27 0.838 0.119 0.470
O28 0.838 0.381 0.470
O29 0.964 0.675 0.220
O30 0.964 0.825 0.220
O31 0.988 0.530 0.212
O32 0.988 0.970 0.212

## Properties
Uncorrected energy in hartree per atom: -0.683
ΔE_f (raw) in eV per formula unit: -49.0
Space group: Pnma (62)
Mass density in kg/m3: 5691
Total magnetization in μB/f.u.: 0.00

---

This record from Alexandria describes LiTl3Sb at its PBEsol-relaxed geometry. The functional is meta-GGA SCAN.

Cell lengths 5.883, 5.883, 5.883 Å; angles 90.00, 90.00, 90.00 degrees
Atoms (fractional coordinates):
Li1 0.000 0.000 0.000
Tl1 0.000 0.500 0.500
Tl2 0.500 0.000 0.500
Tl3 0.500 0.500 0.000
Sb1 0.500 0.500 0.500

## Properties
Uncorrected energy in hartree per atom: -1.874
ΔE_f (raw) in eV per formula unit: 1.8
Space group: Pm-3m (221)
Mass density in kg/m3: 6050
Total magnetization in μB/f.u.: 0.00

---

This record from Alexandria describes MgPbBr2 at its PBEsol-relaxed geometry. The functional is meta-GGA SCAN.

Cell lengths 6.833, 8.465, 3.696 Å; angles 90.00, 90.00, 90.00 degrees
Atoms (fractional coordinates):
Mg1 0.000 0.000 0.000
Mg2 0.500 0.500 0.000
Pb1 0.000 0.500 0.000
Pb2 0.500 0.000 0.000
Br1 0.250 0.250 0.500
Br2 0.250 0.750 0.500
Br3 0.750 0.250 0.500
Br4 0.750 0.750 0.500

## Properties
Uncorrected energy in hartree per atom: -1.113
ΔE_f (raw) in eV per formula unit: -1.5
Space group: Cmmm (65)
Energy relative to the lowest polymorph listed for this composition in kJ/mol of atoms: 27.2
Mass density in kg/m3: 6079
Total magnetization in μB/f.u.: 0.00

---

This record from Alexandria describes ReSi2Ni at its PBEsol-relaxed geometry. The functional is meta-GGA SCAN.

Cell lengths 3.094, 3.826, 8.262 Å; angles 90.00, 90.00, 90.00 degrees
Atoms (fractional coordinates):
Re1 0.000 0.000 0.000
Re2 0.500 0.500 0.500
Si1 0.000 0.000 0.528
Si2 0.000 0.500 0.756
Si3 0.500 0.000 0.256
Si4 0.500 0.500 0.028
Ni1 0.000 0.500 0.235
Ni2 0.500 0.000 0.735

## Properties
Uncorrected energy in hartree per atom: -0.994
ΔE_f (raw) in eV per formula unit: -0.9
Space group: Imm2 (44)
Mass density in kg/m3: 10224
Total magnetization in μB/f.u.: 0.00

---

This record from Alexandria describes Gd2Al6Si4Pt at its PBEsol-relaxed geometry. The functional is meta-GGA SCAN.

Cell lengths 16.997, 16.997, 16.997 Å; angles 13.98, 13.98, 13.98 degrees
Atoms (fractional coordinates):
Gd1 0.066 0.066 0.066
Gd2 0.934 0.934 0.934
Al1 0.182 0.182 0.182
Al2 0.315 0.315 0.315
Al3 0.450 0.450 0.450
Al4 0.550 0.550 0.550
Al5 0.685 0.685 0.685
Al6 0.818 0.818 0.818
Si1 0.234 0.234 0.234
Si2 0.365 0.365 0.365
Si3 0.635 0.635 0.635
Si4 0.766 0.766 0.766
Pt1 0.500 0.500 0.500

## Properties
Uncorrected energy in hartree per atom: -0.797
ΔE_f (raw) in eV per formula unit: -7.7
Space group: R-3m (166)
Mass density in kg/m3: 5215
Total magnetization in μB/f.u.: 14.37

---

This record from Alexandria describes TlCdN3 at its PBEsol-relaxed geometry. The functional is meta-GGA SCAN.

Cell lengths 4.315, 4.315, 4.315 Å; angles 90.00, 90.00, 90.00 degrees
Atoms (fractional coordinates):
Tl1 0.000 0.000 0.000
Cd1 0.500 0.500 0.500
N1 0.000 0.000 0.500
N2 0.000 0.500 0.000
N3 0.500 0.000 0.000

## Properties
Uncorrected energy in hartree per atom: -0.878
ΔE_f (raw) in eV per formula unit: 11.1
Space group: Pm-3m (221)
Mass density in kg/m3: 7414
Total magnetization in μB/f.u.: 3.90

---

This record from Alexandria describes KSbMoO5 at its PBEsol-relaxed geometry. The functional is meta-GGA SCAN.

Cell lengths 9.110, 11.484, 5.691 Å; angles 90.00, 108.05, 90.00 degrees
Atoms (fractional coordinates):
K1 0.108 0.145 0.044
K2 0.108 0.355 0.544
K3 0.892 0.645 0.456
K4 0.892 0.855 0.956
Sb1 0.464 0.167 0.790
Sb2 0.464 0.333 0.290
Sb3 0.536 0.667 0.710
Sb4 0.536 0.833 0.210
Mo1 0.216 0.588 0.072
Mo2 0.216 0.912 0.572
Mo3 0.784 0.088 0.428
Mo4 0.784 0.412 0.928
O1 0.059 0.651 0.135
O2 0.059 0.849 0.635
O3 0.170 0.567 0.756
O4 0.170 0.933 0.256
O5 0.264 0.051 0.728
O6 0.264 0.449 0.228
O7 0.349 0.236 0.463
O8 0.349 0.264 0.963
O9 0.385 0.679 0.177
O10 0.385 0.821 0.677
O11 0.615 0.179 0.323
O12 0.615 0.321 0.823
O13 0.651 0.736 0.037
O14 0.651 0.764 0.537
O15 0.736 0.551 0.772
O16 0.736 0.949 0.272
O17 0.830 0.067 0.744
O18 0.830 0.433 0.244
O19 0.941 0.151 0.365
O20 0.941 0.349 0.865

## Properties
Uncorrected energy in hartree per atom: -0.586
ΔE_f (raw) in eV per formula unit: -16.0
Space group: P2_1/c (14)
Mass density in kg/m3: 3952
Total magnetization in μB/f.u.: 0.00

---

This record from Alexandria describes K2AuBr2 at its PBEsol-relaxed geometry. The functional is meta-GGA SCAN.

Cell lengths 6.008, 6.008, 10.025 Å; angles 90.00, 90.00, 90.00 degrees
Atoms (fractional coordinates):
K1 0.000 0.000 0.177
K2 0.000 0.000 0.823
K3 0.500 0.500 0.323
K4 0.500 0.500 0.677
Au1 0.000 0.000 0.500
Au2 0.500 0.500 0.000
Br1 0.000 0.500 0.250
Br2 0.000 0.500 0.750
Br3 0.500 0.000 0.250
Br4 0.500 0.000 0.750

## Properties
Uncorrected energy in hartree per atom: -0.946
ΔE_f (raw) in eV per formula unit: -4.0
Space group: I4/mmm (139)
Mass density in kg/m3: 3992
Total magnetization in μB/f.u.: 0.93

---

This record from Alexandria describes AlCuCl at its PBEsol-relaxed geometry. The functional is meta-GGA SCAN.

Cell lengths 3.373, 5.356, 11.062 Å; angles 90.00, 90.00, 90.00 degrees
Atoms (fractional coordinates):
Al1 0.000 0.000 0.000
Al2 0.000 0.500 0.500
Al3 0.500 0.000 0.500
Al4 0.500 0.500 0.000
Cu1 0.000 0.000 0.349
Cu2 0.000 0.500 0.849
Cu3 0.500 0.000 0.849
Cu4 0.500 0.500 0.349
Cl1 0.000 0.000 0.685
Cl2 0.000 0.500 0.185
Cl3 0.500 0.000 0.185
Cl4 0.500 0.500 0.685

## Properties
Uncorrected energy in hartree per atom: -0.382
ΔE_f (raw) in eV per formula unit: -0.2
Space group: Fmm2 (42)
Energy relative to the lowest polymorph listed for this composition in kJ/mol of atoms: 2.8
Mass density in kg/m3: 4188
Total magnetization in μB/f.u.: 0.00

---

> Which value of mass density does entry 1 give?

16156 kg/m3

---

> Which of these has the lowest mass density?

KSbMoO5

---

> Look up the uncorrected energy of the tenth one.

-0.382 hartree per atom